1.
# NaSmCdAg, relaxed, DFT GGA-PBE
data_NaSmCdAg
_chemical_formula_sum 'Na4 Sm4 Cd4 Ag4'
_symmetry_space_group_name_H-M 'F -4 3 m'
_symmetry_Int_Tables_number 216
_symmetry_space_group_name_Hall 'F -4 2 3'
_cell_length_a 7.360
_cell_length_b 7.360
_cell_length_c 7.360
_cell_angle_alpha 90.00
_cell_angle_beta 90.00
_cell_angle_gamma 90.00
loop_
_atom_site_label
_atom_site_fract_x
_atom_site_fract_y
_atom_site_fract_z
_atom_site_occupancy
Na1 0.000 0.000 0.000 1
Sm1 0.000 0.000 0.500 1
Cd1 0.250 0.250 0.250 1
Ag1 0.250 0.250 0.750 1
# Crystal system: cubic
# Electronic total energy: -2.5741 eV/atom
# M_tot: 0.000 Bohr magnetons per cell

***

2.
# Na2CdAgSn, relaxed, DFT GGA-PBE
data_Na2CdAgSn
_chemical_formula_sum 'Na2 Cd1 Ag1 Sn1'
_symmetry_space_group_name_H-M 'P 4/m m m'
_symmetry_Int_Tables_number 123
_symmetry_space_group_name_Hall '-P 4 2'
_cell_length_a 5.492
_cell_length_b 5.492
_cell_length_c 5.203
_cell_angle_alpha 90.00
_cell_angle_beta 90.00
_cell_angle_gamma 90.00
loop_
_atom_site_label
_atom_site_fract_x
_atom_site_fract_y
_atom_site_fract_z
_atom_site_occupancy
Na1 0.000 0.500 0.000 1
Cd1 0.000 0.000 0.000 1
Ag1 0.000 0.000 0.500 1
Sn1 0.500 0.500 0.500 1
# Crystal system: tetragonal
# Electronic total energy: -1.7452 eV/atom
# M_tot: 0.000 Bohr magnetons per cell

***

3.
# Na2Cd5Ag2Sn, relaxed, DFT GGA-PBE
data_Na2Cd5Ag2Sn
_chemical_formula_sum 'Na4 Cd10 Ag4 Sn2'
_symmetry_space_group_name_H-M 'P 4/m b m'
_symmetry_Int_Tables_number 127
_symmetry_space_group_name_Hall '-P 4 2ab'
_cell_length_a 11.688
_cell_length_b 11.688
_cell_length_c 3.663
_cell_angle_alpha 90.00
_cell_angle_beta 90.00
_cell_angle_gamma 90.00
loop_
_atom_site_label
_atom_site_fract_x
_atom_site_fract_y
_atom_site_fract_z
_atom_site_occupancy
Na1 0.175 0.325 0.000 1
Cd1 0.000 0.500 0.500 1
Cd2 0.061 0.798 0.500 1
Ag1 0.129 0.629 0.000 1
Sn1 0.000 0.000 0.000 1
# Crystal system: tetragonal
# Electronic total energy: -1.7102 eV/atom
# M_tot: 0.000 Bohr magnetons per cell